Record 1
DFT (PBE-GGA) results for CaSbI2F after structural relaxation.

Summary:
The calculation puts the electronic total energy at -2.52 eV per atom. For the density, the calculation gives 3.299 g/cm3. The value obtained for the uncorrected formation energy is -298.5 meV per atom. The magnetization is 0.67 μB/f.u. The value obtained for the excess energy over the best structure of this formula in the dataset is 0.528 eV/atom. As for the density of states at the Fermi level: 9.40 states/eV/cell.

Cell lengths 5.8766, 5.8766, 6.3354 Å; angles 90.00, 90.00, 90.00 degrees
Last column: magnetic moment on the atom in μB.
Fractional coordinates of all 5 atoms:
I1 0.0000 0.5000 0.0000  -0.01
I2 0.5000 0.0000 0.0000  -0.01
Sb1 0.0000 0.0000 0.5000  0.40
Ca1 0.0000 0.0000 0.0000  0.00
F1 0.5000 0.5000 0.5000  -0.29

Record 2
DFT (PBE-GGA) results for TlRe2Os after structural relaxation.

Summary:
The calculation puts the electronic total energy at -8.65 eV per atom. For the density, the calculation gives 19.416 g/cm3. As for the formation energy from the elements: 0.97 eV per atom. The magnetization is 0.00 μB/f.u. The value obtained for the excess energy over the best structure of this formula in the dataset is 0.388 eV/atom. As for the density of states at the Fermi level: 4.59 states/eV/cell.

Cell lengths 5.0084, 5.0084, 2.8874 Å; angles 90.00, 90.00, 115.08 degrees
Fractional coordinates of all 4 atoms:
Os1 0.0000 0.5000 0.5000
Re1 0.0000 0.0000 0.0000
Re2 0.5000 0.5000 0.0000
Tl1 0.5000 0.0000 0.5000

Record 3
DFT (PBE-GGA) results for LaZn9Ag2 after structural relaxation.

Summary:
The calculation puts the electronic total energy at -1.91 eV per atom. For the density, the calculation gives 7.384 g/cm3. As for the formation energy from the elements: -0.07 eV per atom. The magnetization is 0.00 μB/f.u. The value obtained for the excess energy over the best structure of this formula in the dataset is 0.077 eV/atom. As for the density of states at the Fermi level: 4.77 states/eV/cell.

Cell lengths 3.0997, 8.8893, 8.8893 Å; angles 120.00, 90.00, 90.00 degrees
Fractional coordinates of all 12 atoms:
La1 0.0000 0.0000 0.0000
Zn1 0.5000 0.8161 0.1839
Zn2 0.0000 0.0000 0.5000
Zn3 0.0000 0.5000 0.5000
Zn4 0.5000 0.8161 0.6321
Zn5 0.5000 0.1839 0.8161
Zn6 0.5000 0.6321 0.8161
Zn7 0.5000 0.1839 0.3679
Zn8 0.0000 0.5000 0.0000
Zn9 0.5000 0.3679 0.1839
Ag1 0.0000 0.6667 0.3333
Ag2 0.0000 0.3333 0.6667

Record 4
DFT (PBE-GGA) results for ZrSbH3 after structural relaxation.

Summary:
The calculation puts the electronic total energy at -4.52 eV per atom. For the density, the calculation gives 6.108 g/cm3. The magnetization is 0.00 μB/f.u. The value obtained for the excess energy over the best structure of this formula in the dataset is 0.000 eV/atom. As for the density of states at the Fermi level: 1.37 states/eV/cell.

Cell lengths 3.8868, 3.8868, 3.8868 Å; angles 90.00, 90.00, 90.00 degrees
Fractional coordinates of all 5 atoms:
Sb1 0.5000 0.5000 0.5000
Zr1 0.0000 0.0000 0.0000
H1 0.0000 0.5000 0.0000
H2 0.0000 0.0000 0.5000
H3 0.5000 0.0000 0.0000